This record from the Alexandria database describes an optimized crystal structure of Co3OF5. The functional is GGA+U.

abc: 4.775 3.127 14.168
angles: 90.00 91.19 90.00
Atoms (fractional coordinates):
Co 0.000 0.000 0.000
Co 0.010 0.000 0.671
Co 0.471 0.500 0.823
Co 0.500 0.500 0.500
Co 0.529 0.500 0.177
Co 0.990 0.000 0.329
O 0.313 0.000 0.770
O 0.687 0.000 0.230
F 0.198 0.500 0.600
F 0.198 0.500 0.933
F 0.201 0.500 0.266
F 0.301 0.000 0.433
F 0.312 0.000 0.102
F 0.688 0.000 0.898
F 0.699 0.000 0.567
F 0.799 0.500 0.734
F 0.802 0.500 0.067
F 0.802 0.500 0.400

Values from the calculation:
electronic total energy	-5.13	eV/atom